# 1
The following is a DFT calculation (SCAN) of a PBEsol-optimized structure of PrIn2Pd.

Output
energy	-36.485	eV per atom
volume	22.32	Å³ per atom
space-group type	I4mm, No. 107
ΔE_f	-767	meV per atom

Unit cell a=9.1851 b=10.8757 c=10.8757 alpha=79.73 beta=65.02 gamma=65.02
Fractional coordinates of all 40 atoms:
Pr: 0.0106 0.0000 0.0000
Pr: 0.6179 0.7192 0.2808
Pr: 0.3344 0.5942 0.0000
Pr: 0.5412 0.0000 0.0000
Pr: 0.6179 0.2808 0.7192
Pr: 0.9287 0.0000 0.4058
Pr: 0.8986 0.7192 0.7192
Pr: 0.3344 0.0000 0.5942
Pr: 0.9287 0.4058 0.0000
Pr: 0.3371 0.2808 0.2808
In: 0.7397 0.7889 0.4931
In: 0.2857 0.8353 0.1647
In: 0.5287 0.2111 0.4931
In: 0.6521 0.2660 0.0000
In: 0.9181 0.0000 0.7340
In: 0.1412 0.3830 0.6170
In: 0.7582 0.3830 0.3830
In: 0.2329 0.7889 0.5069
In: 0.1412 0.6170 0.3830
In: 0.9181 0.7340 0.0000
In: 0.1209 0.1647 0.1647
In: 0.5242 0.6170 0.6170
In: 0.0218 0.2111 0.5069
In: 0.4504 0.8353 0.8353
In: 0.2857 0.1647 0.8353
In: 0.5287 0.4931 0.2111
In: 0.7397 0.4931 0.7889
In: 0.6521 0.0000 0.2660
In: 0.2329 0.5069 0.7889
In: 0.0218 0.5069 0.2111
Pd: 0.9760 0.2184 0.7816
Pd: 0.7575 0.2184 0.2184
Pd: 0.3886 0.5000 0.5000
Pd: 0.9760 0.7816 0.2184
Pd: 0.8886 0.5000 0.5000
Pd: 0.3089 0.3200 0.0000
Pd: 0.6290 0.6800 0.0000
Pd: 0.1944 0.7816 0.7816
Pd: 0.3089 0.0000 0.3200
Pd: 0.6290 0.0000 0.6800

=====

# 2
The following is a DFT calculation (SCAN) of a PBEsol-optimized structure of ZnFe4.

Output
E above lowest polymorph	0.000	eV per atom
energy	-17.169	eV per atom
volume	11.28	Å³ per atom
space-group type	I4/m, No. 87
ΔE_f	37	meV per atom

Unit cell a=3.7630 b=4.3038 c=4.3038 alpha=78.98 beta=64.08 gamma=64.08
Last column: magnetic moment on the atom in μB.
Fractional coordinates of all 5 atoms:
Zn: 0.0000 0.0000 0.0000  -0.13
Fe: 0.4085 0.3910 0.7920  2.61
Fe: 0.5915 0.6090 0.2080  2.61
Fe: 0.7995 0.7920 0.6090  2.61
Fe: 0.2005 0.2080 0.3910  2.61

=====

# 3
The following is a DFT calculation (SCAN) of a PBEsol-optimized structure of MgPIO2.

Output
E above lowest polymorph	0.015	eV per atom
energy	-13.149	eV per atom
volume	18.58	Å³ per atom
space-group type	P4/mmm, No. 123
formation energy from raw total energies	-0.234	eV/atom

Unit cell a=3.9062 b=3.9062 c=6.0872 alpha=90.00 beta=90.00 gamma=90.00
Last column: magnetic moment on the atom in μB.
Fractional coordinates of all 5 atoms:
I: 0.0000 0.0000 0.5000  0.03
P: 0.5000 0.5000 0.5000  0.40
Mg: 0.0000 0.0000 0.0000  -0.02
O: 0.0000 0.5000 0.0000  0.75
O: 0.5000 0.0000 0.0000  0.75

=====

# 4
The following is a DFT calculation (SCAN) of a PBEsol-optimized structure of CaZrTeN2.

Output
E above lowest polymorph	0.000	eV per atom
energy	-19.741	eV per atom
volume	20.93	Å³ per atom
space-group type	P4/mmm, No. 123
formation energy from raw total energies	-0.502	eV/atom

Unit cell a=4.2273 b=4.2273 c=5.8566 alpha=90.00 beta=90.00 gamma=90.00
Last column: magnetic moment on the atom in μB.
Fractional coordinates of all 5 atoms:
Ca: 0.5000 0.5000 0.5000  -0.01
Te: 0.0000 0.0000 0.5000  0.07
Zr: 0.0000 0.0000 0.0000  -0.16
N: 0.0000 0.5000 0.0000  0.74
N: 0.5000 0.0000 0.0000  0.74

=====

# 5
The following is a DFT calculation (SCAN) of a PBEsol-optimized structure of Gd3InN.

Output
energy	-44.913	eV per atom
volume	22.29	Å³ per atom
space-group type	Pm-3m, No. 221
formation energy from raw total energies	-1.088	eV/atom

Unit cell a=4.8123 b=4.8123 c=4.8123 alpha=90.00 beta=90.00 gamma=90.00
Last column: magnetic moment on the atom in μB.
Fractional coordinates of all 5 atoms:
Gd: 0.0000 0.5000 0.0000  7.22
Gd: 0.5000 0.0000 0.0000  7.22
Gd: 0.0000 0.0000 0.5000  7.22
In: 0.5000 0.5000 0.5000  -0.14
N: 0.0000 0.0000 0.0000  -0.19

=====

# 6
The following is a DFT calculation (SCAN) of a PBEsol-optimized structure of NaTbCl4.

Output
energy	-16.185	eV per atom
volume	24.75	Å³ per atom
space-group type	P-1, No. 2
formation energy from raw total energies	-2.371	eV/atom

Unit cell a=6.5401 b=6.6760 c=6.9436 alpha=88.90 beta=87.86 gamma=78.58
Fractional coordinates of all 12 atoms:
Na: 0.2269 0.1915 0.5417
Na: 0.7731 0.8085 0.4583
Tb: 0.7907 0.3000 0.0548
Tb: 0.2093 0.7000 0.9452
Cl: 0.6058 0.2133 0.3701
Cl: 0.3942 0.7867 0.6299
Cl: 0.0907 0.9958 0.2108
Cl: 0.9093 0.0042 0.7892
Cl: 0.0499 0.4967 0.2442
Cl: 0.9501 0.5033 0.7558
Cl: 0.5686 0.6888 0.1166
Cl: 0.4314 0.3112 0.8834

=====

# 7
The following is a DFT calculation (SCAN) of a PBEsol-optimized structure of Y2MnAs.

Output
energy	-24.130	eV per atom
volume	21.00	Å³ per atom
space-group type	P4/mmm, No. 123
ΔE_f	-597	meV per atom

Unit cell a=3.6393 b=4.8038 c=4.8038 alpha=90.00 beta=90.00 gamma=90.00
Last column: magnetic moment on the atom in μB.
Fractional coordinates of all 4 atoms:
As: 0.5000 0.5000 0.5000  0.07
Mn: 0.5000 0.0000 0.0000  3.85
Y: 0.0000 0.5000 0.0000  -0.36
Y: 0.0000 0.0000 0.5000  -0.36

=====

# 8
The following is a DFT calculation (SCAN) of a PBEsol-optimized structure of MgPt2Au.

Output
energy	-54.163	eV per atom
volume	15.69	Å³ per atom
space-group type	I4/mmm, No. 139
ΔE_f	-534	meV per atom

Unit cell a=3.9715 b=3.9715 c=4.8692 alpha=114.07 beta=114.07 gamma=90.00
Fractional coordinates of all 4 atoms:
Mg: 0.0000 0.0000 0.0000
Au: 0.5000 0.5000 0.0000
Pt: 0.7500 0.2500 0.5000
Pt: 0.2500 0.7500 0.5000